Density functional theory data (PBE) for Li7Zn2Cd2 after structural relaxation.

CIF file:
```
data_Li7Zn2Cd2
_symmetry_space_group_name_H-M 'C 1 2/m 1'
_symmetry_Int_Tables_number 12
_cell_length_a 7.5228
_cell_length_b 7.8375
_cell_length_c 6.9792
_cell_angle_alpha 90.00
_cell_angle_beta 101.76
_cell_angle_gamma 90.00
loop_
_symmetry_equiv_pos_as_xyz
'x,y,z'
'-x,-y,-z'
'-x,y,-z'
'x,-y,z'
'x+1/2,y+1/2,z'
'-x+1/2,-y+1/2,-z'
'-x+1/2,y+1/2,-z'
'x+1/2,-y+1/2,z'
loop_
_atom_site_label
_atom_site_type_symbol
_atom_site_fract_x
_atom_site_fract_y
_atom_site_fract_z
_atom_site_occupancy
Li1 Li 0.0000 0.0000 0.0000 1
Li2 Li 0.1627 0.0000 0.4338 1
Li3 Li 0.2205 0.3057 0.2111 1
Zn1 Zn 0.0000 0.3177 0.5000 1
Cd1 Cd 0.1071 0.5000 0.8515 1
```

Summary:
- DFT formation energy (kJ/mol of formula units) = -150
- size of the total moment (Bohr magnetons per cell) = 0.0
- DOS(E_F) (states/eV/f.u.) = 4.2

=====

Density functional theory data (PBE) for LiZnCd2 after structural relaxation.

CIF file:
```
data_LiZnCd2
_symmetry_space_group_name_H-M 'P 1 2/m 1'
_symmetry_Int_Tables_number 10
_cell_length_a 3.0001
_cell_length_b 4.4132
_cell_length_c 5.9068
_cell_angle_alpha 90.00
_cell_angle_beta 101.69
_cell_angle_gamma 90.00
loop_
_symmetry_equiv_pos_as_xyz
'x,y,z'
'-x,-y,-z'
'-x,y,-z'
'x,-y,z'
loop_
_atom_site_label
_atom_site_type_symbol
_atom_site_fract_x
_atom_site_fract_y
_atom_site_fract_z
_atom_site_occupancy
Li1 Li 0.0000 0.0000 0.0000 1
Zn1 Zn 0.0000 0.0000 0.5000 1
Cd1 Cd 0.4167 0.5000 0.7487 1
```

Summary:
- DFT formation energy (kJ/mol of formula units) = -36
- size of the total moment (Bohr magnetons per cell) = 0.0
- DOS(E_F) (states/eV/f.u.) = 1.5

=====

Density functional theory data (PBE) for Li7Zn2Cd2 after structural relaxation.

CIF file:
```
data_Li7Zn2Cd2
_symmetry_space_group_name_H-M 'C 1 2/m 1'
_symmetry_Int_Tables_number 12
_cell_length_a 9.9125
_cell_length_b 8.3234
_cell_length_c 5.0006
_cell_angle_alpha 90.00
_cell_angle_beta 105.69
_cell_angle_gamma 90.00
loop_
_symmetry_equiv_pos_as_xyz
'x,y,z'
'-x,-y,-z'
'-x,y,-z'
'x,-y,z'
'x+1/2,y+1/2,z'
'-x+1/2,-y+1/2,-z'
'-x+1/2,y+1/2,-z'
'x+1/2,-y+1/2,z'
loop_
_atom_site_label
_atom_site_type_symbol
_atom_site_fract_x
_atom_site_fract_y
_atom_site_fract_z
_atom_site_occupancy
Li1 Li 0.0000 0.0000 0.0000 1
Li2 Li 0.0310 0.5000 0.7728 1
Li3 Li 0.2225 0.1828 0.2303 1
Zn1 Zn 0.2362 0.0000 0.7482 1
Cd1 Cd 0.0000 0.1906 0.5000 1
```

Summary:
- DFT formation energy (kJ/mol of formula units) = -96
- size of the total moment (Bohr magnetons per cell) = 0.0
- DOS(E_F) (states/eV/f.u.) = 4.0

=====

Density functional theory data (PBE) for Li12ZnCd2 after structural relaxation.

CIF file:
```
data_Li12ZnCd2
_symmetry_space_group_name_H-M 'P 4/n b m'
_symmetry_Int_Tables_number 125
_cell_length_a 5.4793
_cell_length_b 5.4793
_cell_length_c 19.7362
_cell_angle_alpha 90.00
_cell_angle_beta 90.00
_cell_angle_gamma 90.00
loop_
_symmetry_equiv_pos_as_xyz
'x,y,z'
'-x,-y,-z'
'-y+1/2,x,z'
'y+1/2,-x,-z'
'-x+1/2,-y+1/2,z'
'x+1/2,y+1/2,-z'
'y,-x+1/2,z'
'-y,x+1/2,-z'
'x,-y+1/2,-z'
'-x,y+1/2,z'
'-y+1/2,-x+1/2,-z'
'y+1/2,x+1/2,z'
'-x+1/2,y,-z'
'x+1/2,-y,z'
'y,x,-z'
'-y,-x,z'
loop_
_atom_site_label
_atom_site_type_symbol
_atom_site_fract_x
_atom_site_fract_y
_atom_site_fract_z
_atom_site_occupancy
Li1 Li 0.0001 0.9999 0.0950 1
Li2 Li 0.0702 0.5702 0.4370 1
Li3 Li 0.2500 0.2500 0.2098 1
Li4 Li 0.2500 0.2500 0.3380 1
Zn1 Zn 0.2500 0.7500 0.0000 1
Cd1 Cd 0.2500 0.7500 0.2852 1
```

Summary:
- DFT formation energy (kJ/mol of formula units) = 65
- size of the total moment (Bohr magnetons per cell) = 0.0
- DOS(E_F) (states/eV/f.u.) = 6.9